Record 1
Below is a relaxed structure of Al2CdCoBr, with properties calculated at the PBE level.

Geometry as POSCAR:
```
Al2CdCoBr
1.0
5.101 0.000 0.000
0.000 5.101 0.000
0.000 0.000 5.057
Al Cd Co Br
2 1 1 1
Cartesian
0.000 2.551 0.000
2.551 0.000 0.000
0.000 0.000 0.000
0.000 0.000 2.528
2.551 2.551 2.528
```

## Properties
volume: 132 Å³/f.u.
crystal system: tetragonal
energy relative to the elements, uncorrected: 0.820 eV per atom

***

Record 2
Below is a relaxed structure of Cs2AlCdBr6, with properties calculated at the PBE level.

Geometry as POSCAR:
```
Cs2AlCdBr6
1.0
-3.922 3.922 5.569
3.922 -3.922 5.569
3.922 3.922 -5.569
Cs Al Cd Br
2 1 1 6
Cartesian
3.922 0.000 2.784
0.000 3.922 2.784
0.000 0.000 0.000
0.000 0.000 5.569
0.000 0.000 2.586
1.827 1.827 0.000
2.096 -2.096 5.569
-2.096 2.096 5.569
2.096 2.096 5.569
0.000 0.000 8.551
```

## Properties
volume: 343 Å³/f.u.
crystal system: tetragonal
energy relative to the elements, uncorrected: -1.242 eV per atom

***

Record 3
Below is a relaxed structure of AlCd2BrF, with properties calculated at the PBE level.

Geometry as POSCAR:
```
AlCd2BrF
1.0
5.934 0.000 0.000
0.000 5.934 0.000
0.000 0.000 5.950
Al Cd Br F
1 2 1 1
Cartesian
0.000 0.000 0.000
0.000 2.967 2.975
2.967 0.000 2.975
0.000 0.000 2.975
2.967 2.967 0.000
```

## Properties
volume: 209 Å³/f.u.
crystal system: tetragonal
energy above the lowest structure with this stoichiometry: 623 meV per atom
energy relative to the elements, uncorrected: 0.200 eV per atom

***

Record 4
Below is a relaxed structure of AlCd2BrF, with properties calculated at the PBE level.

Geometry as POSCAR:
```
AlCd2BrF
1.0
5.840 0.000 0.000
0.000 5.840 0.000
0.000 0.000 3.761
Al Cd Br F
1 2 1 1
Cartesian
0.000 0.000 0.000
0.000 2.920 1.880
2.920 0.000 1.880
2.920 2.920 0.000
0.000 0.000 1.880
```

## Properties
volume: 128 Å³/f.u.
crystal system: tetragonal
energy above the lowest structure with this stoichiometry: 0 meV per atom
energy relative to the elements, uncorrected: -0.423 eV per atom

***

Record 5
Below is a relaxed structure of Al2CdGeBr, with properties calculated at the PBE level.

Geometry as POSCAR:
```
Al2CdGeBr
1.0
5.038 0.000 0.000
0.000 5.038 0.000
0.000 0.000 5.489
Al Cd Ge Br
2 1 1 1
Cartesian
0.000 2.519 0.000
2.519 0.000 0.000
0.000 0.000 2.745
0.000 0.000 0.000
2.519 2.519 2.745
```

## Properties
volume: 139 Å³/f.u.
crystal system: tetragonal
energy relative to the elements, uncorrected: 0.291 eV per atom

***

Record 6
Below is a relaxed structure of Al2CdHBr, with properties calculated at the PBE level.

Geometry as POSCAR:
```
Al2CdHBr
1.0
4.063 0.000 0.000
0.000 4.063 0.000
0.000 0.000 6.060
Al Cd H Br
2 1 1 1
Cartesian
0.000 2.031 0.000
2.031 0.000 0.000
0.000 0.000 3.030
0.000 0.000 0.000
2.031 2.031 3.030
```

## Properties
volume: 100 Å³/f.u.
crystal system: tetragonal
E_tot: -11.73 eV per formula unit

***

Record 7
Below is a relaxed structure of AlCd2HgBr, with properties calculated at the PBE level.

Geometry as POSCAR:
```
AlCd2HgBr
1.0
5.659 0.000 0.000
0.000 5.659 0.000
0.000 0.000 6.379
Al Cd Hg Br
1 2 1 1
Cartesian
0.000 0.000 0.000
0.000 2.829 3.190
2.829 0.000 3.190
2.829 2.829 0.000
2.829 2.829 3.190
```

## Properties
volume: 204 Å³/f.u.
crystal system: tetragonal
energy relative to the elements, uncorrected: 0.591 eV per atom

***

Record 8
Below is a relaxed structure of AlCdIn2Br, with properties calculated at the PBE level.

Geometry as POSCAR:
```
AlCdIn2Br
1.0
5.680 0.000 0.000
0.000 5.680 0.000
0.000 0.000 5.148
Al Cd In Br
1 1 2 1
Cartesian
0.000 0.000 0.000
0.000 0.000 2.574
0.000 2.840 2.574
2.840 0.000 2.574
2.840 2.840 0.000
```

## Properties
volume: 166 Å³/f.u.
crystal system: tetragonal
energy relative to the elements, uncorrected: 0.197 eV per atom

***

Record 9
Below is a relaxed structure of KAl2CdBr, with properties calculated at the PBE level.

Geometry as POSCAR:
```
KAl2CdBr
1.0
5.601 0.000 0.000
0.000 5.601 0.000
0.000 0.000 6.480
K Al Cd Br
1 2 1 1
Cartesian
0.000 0.000 0.000
0.000 2.800 3.240
2.800 0.000 3.240
2.800 2.800 0.000
2.800 2.800 3.240
```

## Properties
volume: 203 Å³/f.u.
crystal system: tetragonal
energy relative to the elements, uncorrected: 0.412 eV per atom

***

Record 10
Below is a relaxed structure of AlCdBrN2, with properties calculated at the PBE level.

Geometry as POSCAR:
```
AlCdBrN2
1.0
3.804 0.000 0.000
0.000 3.804 0.000
0.000 0.000 5.871
Al Cd Br N
1 1 1 2
Cartesian
0.000 0.000 0.000
1.902 1.902 2.936
0.000 0.000 2.936
0.000 1.902 0.000
1.902 0.000 0.000
```

## Properties
volume: 85 Å³/f.u.
crystal system: tetragonal
energy relative to the elements, uncorrected: 0.574 eV per atom

***

Record 11
Below is a relaxed structure of NaAlCdBr6, with properties calculated at the PBE level.

Geometry as POSCAR:
```
NaAlCdBr6
1.0
6.887 0.000 0.000
-3.444 5.965 0.000
0.000 0.000 6.633
Na Al Cd Br
1 1 1 6
Cartesian
0.000 0.000 0.000
0.000 3.976 3.316
3.444 1.988 3.316
-1.092 2.238 1.823
-2.052 3.900 4.810
1.092 2.238 4.810
-0.960 5.792 1.823
2.052 3.900 1.823
0.960 5.792 4.810
```

## Properties
volume: 272 Å³/f.u.
crystal system: trigonal
energy relative to the elements, uncorrected: -1.080 eV per atom

***

Record 12
Below is a relaxed structure of Al2CdOsBr, with properties calculated at the PBE level.

Geometry as POSCAR:
```
Al2CdOsBr
1.0
5.112 0.000 0.000
0.000 5.112 0.000
0.000 0.000 4.661
Al Cd Os Br
2 1 1 1
Cartesian
0.000 2.556 0.000
2.556 0.000 0.000
0.000 0.000 2.330
2.556 2.556 2.330
2.556 2.556 0.000
```

## Properties
volume: 122 Å³/f.u.
crystal system: tetragonal
energy relative to the elements, uncorrected: 1.453 eV per atom

***

Record 13
Below is a relaxed structure of RbAl2CdBr8, with properties calculated at the PBE level.

Geometry as POSCAR:
```
RbAl2CdBr8
1.0
3.526 2.036 10.224
-3.526 2.036 10.224
0.000 -4.072 10.224
Rb Al Cd Br
1 2 1 8
Cartesian
0.000 0.000 0.000
0.000 0.000 7.762
0.000 0.000 22.910
0.000 0.000 15.336
-2.572 -0.037 13.430
-1.254 -2.246 17.242
0.000 0.000 10.083
1.318 -2.209 13.430
-1.318 2.209 17.242
0.000 0.000 20.589
1.254 2.246 13.430
2.572 0.037 17.242
```

## Properties
volume: 440 Å³/f.u.
crystal system: trigonal
energy relative to the elements, uncorrected: -1.109 eV per atom

***

Record 14
Below is a relaxed structure of ScAlCdBr2, with properties calculated at the PBE level.

Geometry as POSCAR:
```
ScAlCdBr2
1.0
5.397 0.000 0.000
0.000 5.397 0.000
0.000 0.000 5.234
Sc Al Cd Br
1 1 1 2
Cartesian
0.000 0.000 0.000
2.699 2.699 2.617
2.699 2.699 0.000
0.000 2.699 2.617
2.699 0.000 2.617
```

## Properties
volume: 152 Å³/f.u.
crystal system: tetragonal
energy relative to the elements, uncorrected: 0.088 eV per atom